# NiRh4 (GGA-PBE, relaxed)
# raw total energy = -7.01 eV per atom
# mass density = 11.41 g/cm³
# formation energy from the elements = 30 meV/atom
data_NiRh4
_chemical_formula_sum 'Ni1 Rh4'
_space_group_name_H-M_alt 'P 1'
_space_group_IT_number 1
_space_group_name_Hall 'P 1'
_cell_length_a 10.9622
_cell_length_b 10.9622
_cell_length_c 10.9622
_cell_angle_alpha 14.14
_cell_angle_beta 14.14
_cell_angle_gamma 14.14
loop_
_atom_site_label
_atom_site_type_symbol
_atom_site_fract_x
_atom_site_fract_y
_atom_site_fract_z
_atom_site_occupancy
Ni1 Ni 0.0000 0.0000 0.0000 1
Rh1 Rh 0.2008 0.2008 0.2008 1
Rh2 Rh 0.3972 0.3972 0.3972 1
Rh3 Rh 0.6028 0.6028 0.6028 1
Rh4 Rh 0.7992 0.7992 0.7992 1


# NiRh (GGA-PBE, relaxed)
# raw total energy = -6.15 eV per atom
# mass density = 9.86 g/cm³
# formation energy from the elements = 420 meV/atom
data_NiRh
_chemical_formula_sum 'Ni4 Rh4'
_space_group_name_H-M_alt 'P 1'
_space_group_IT_number 1
_space_group_name_Hall 'P 1'
_cell_length_a 5.8441
_cell_length_b 5.7081
_cell_length_c 4.8433
_cell_angle_alpha 66.68
_cell_angle_beta 63.76
_cell_angle_gamma 49.56
loop_
_atom_site_label
_atom_site_type_symbol
_atom_site_fract_x
_atom_site_fract_y
_atom_site_fract_z
_atom_site_occupancy
Ni1 Ni 0.0474 0.7026 0.7026 1
Ni2 Ni 0.2974 0.9526 0.9526 1
Ni3 Ni 0.7026 0.0474 0.0474 1
Ni4 Ni 0.9526 0.2974 0.2974 1
Rh1 Rh 0.1930 0.5570 0.1930 1
Rh2 Rh 0.4430 0.8070 0.4430 1
Rh3 Rh 0.5570 0.1930 0.5570 1
Rh4 Rh 0.8070 0.4430 0.8070 1